1.
Computed, not measured: an optimized crystal structure of Na4Se at the PBE level of DFT.

Lattice parameters (Å, degrees): 5.6740 5.6740 5.6740 90.00 90.00 90.00
Positions (direct):
Na 0.0000 0.0000 0.0000
Na 0.5000 0.0000 0.5000
Na 0.0000 0.5000 0.5000
Na 0.5000 0.5000 0.0000
Se 0.5000 0.5000 0.5000

As for the total DFT energy (no corrections): -11.23 eV for the cell shown. Its energy relative to the elements, uncorrected is -0.493 eV/atom. As for the space-group type: Pm-3m. Its density of states at the Fermi level is 0.3982 states/eV per atom. The magnetic moment is 0.00 μB/f.u.



2.
Computed, not measured: an optimized crystal structure of LaRh3 at the PBE level of DFT.

Lattice parameters (Å, degrees): 4.1371 4.1371 4.1371 90.00 90.00 90.00
Positions (direct):
Rh 0.5000 0.0000 0.5000
Rh 0.0000 0.5000 0.5000
Rh 0.5000 0.5000 0.0000
La 0.0000 0.0000 0.0000

Its formation energy from the elements is -0.364 eV/atom. As for the total DFT energy (no corrections): -28.44 eV for the cell shown. As for the space-group type: Pm-3m. Its density of states at the Fermi level is 0.8084 states/eV per atom. The magnetic moment is 0.00 μB/f.u.



3.
Computed, not measured: an optimized crystal structure of Cr2CoNi at the PBE level of DFT.

Lattice parameters (Å, degrees): 3.9742 3.9742 3.9742 60.00 60.00 60.00
Positions (direct):
Co 0.5000 0.5000 0.5000
Cr 0.0000 0.0000 0.0000
Cr 0.2500 0.2500 0.2500
Ni 0.7500 0.7500 0.7500

Its formation energy from the elements is 0.154 eV/atom. As for the total DFT energy (no corrections): -31.52 eV for the cell shown. The calculation puts the energy relative to the lowest polymorph listed for this composition at 0.50 eV/f.u. As for the space-group type: F-43m. Its density of states at the Fermi level is 1.5929 states/eV per atom. The magnetic moment is 0.00 μB/f.u.



4.
Computed, not measured: an optimized crystal structure of CsBeO2 at the PBE level of DFT.

Lattice parameters (Å, degrees): 5.4824 5.4824 5.5074 60.15 60.15 90.00
Site moments in Bohr magnetons follow the coordinates.
Positions (direct):
Cs 0.0000 0.0000 0.0000  -0.01
Cs 0.7500 0.2500 0.5000  -0.01
Be 0.5000 0.5000 0.0000  -0.02
Be 0.2500 0.7500 0.5000  -0.02
O 0.3750 0.1250 0.2500  0.48
O 0.3750 0.6250 0.2500  0.42
O 0.3750 0.6250 0.7500  0.42
O 0.8750 0.6250 0.7500  0.36

As for the total DFT energy (no corrections): -42.08 eV for the cell shown. Its energy relative to the elements, uncorrected is -1.636 eV/atom. The calculation puts the energy relative to the lowest polymorph listed for this composition at 0.00 eV/f.u. As for the space-group type: I4_1/amd. Its density of states at the Fermi level is 0.5830 states/eV per atom. The magnetic moment is 1.00 μB/f.u.